No. 1
First-principles (PBE) data for a relaxed structure of TaAlHg2Br, as listed in Alexandria.

Cell and atoms, written as POSCAR:
```
TaAlHg2Br
1.0
5.119 0.000 0.000
0.000 5.273 0.000
0.000 0.000 5.119
Al Ta Hg Br
1 1 2 1
direct
0.000 0.000 0.000
0.000 0.500 0.000
0.500 0.000 0.000
0.000 0.000 0.500
0.500 0.500 0.500
```

## Properties
energy relative to the elements, uncorrected	832	meV/atom
magnetization	2.6	μB/cell
energy	-2.743	eV per atom
Fermi-level density of states	4.63	states/eV per cell
energy above the lowest structure with this stoichiometry	0	meV/atom


No. 2
First-principles (PBE) data for a relaxed structure of Zr2Ta2Hg, as listed in Alexandria.

Cell and atoms, written as POSCAR:
```
Zr2Ta2Hg
1.0
-4.933 5.521 0.039
-4.617 -4.097 -4.089
-1.596 -1.449 3.254
Hg Ta Zr
2 4 4
direct
0.500 0.500 0.000
0.000 0.000 0.000
0.874 0.626 0.000
0.374 0.874 0.000
0.626 0.126 0.000
0.126 0.374 0.000
0.829 0.329 0.500
0.171 0.671 0.500
0.329 0.171 0.500
0.671 0.829 0.500
```

## Properties
formation energy	0.22	eV per atom
magnetization	0.0	μB/cell
energy	-8.006	eV per atom
Fermi-level density of states	5.40	states/eV per cell


No. 3
First-principles (PBE) data for a relaxed structure of ZrCrOs3, as listed in Alexandria.

Cell and atoms, written as POSCAR:
```
ZrCrOs3
1.0
-0.046 -3.631 -2.589
3.997 -1.182 1.587
-1.979 -2.304 3.266
Os Zr Cr
3 1 1
direct
0.000 0.000 0.500
0.500 0.000 0.000
0.000 0.500 0.000
0.500 0.500 0.500
0.000 0.000 0.000
```

## Properties
formation energy	0.96	eV per atom
magnetization	0.0	μB/cell
energy	-9.408	eV per atom
Fermi-level density of states	4.59	states/eV per cell
energy above the lowest structure with this stoichiometry	0	meV/atom